[1]
Compound: Al2InRh
Source: the Alexandria database
Functional: PBE
Structure: optimized geometry Values from VASP.

Structure (Quantum ESPRESSO input):
```
&SYSTEM
  ibrav = 0, nat = 4, ntyp = 3
/
ATOMIC_SPECIES
Rh 102.91 Rh.upf
Al 26.98 Al.upf
In 114.82 In.upf
CELL_PARAMETERS angstrom
-3.1697 -0.9407 0.5952
0.8560 -3.2080 -0.5118
1.2816 -0.5964 5.8821
ATOMIC_POSITIONS angstrom
Rh -0.1252 -2.5545 4.7764
Al 1.2449 -0.5793 5.7134
Al -0.8743 -2.2059 1.3384
In 0.6451 -0.3002 2.9605
```

E_tot, eV per atom: -4.701
Energy of formation, eV/atom: -0.31
SG: P4mm (99)
Total magnetization, μB/cell: 0.00

***

[2]
Compound: Al2InRh
Source: the Alexandria database
Functional: PBE
Structure: optimized geometry Values from VASP.

Structure (Quantum ESPRESSO input):
```
&SYSTEM
  ibrav = 0, nat = 4, ntyp = 3
/
ATOMIC_SPECIES
Rh 102.91 Rh.upf
Al 26.98 Al.upf
In 114.82 In.upf
CELL_PARAMETERS angstrom
-0.1220 -3.0541 -3.0057
2.5464 -1.3890 1.3080
-1.6707 -3.5154 3.6398
ATOMIC_POSITIONS angstrom
Rh 1.0518 -5.4837 2.4724
Al 2.0257 -1.1561 1.0925
Al 0.1581 -2.4884 -0.5349
In 0.5023 -2.6713 2.6940
```

E_tot, eV per atom: -4.692
Energy of formation, eV/atom: -0.30
SG: Pm (6)
Total magnetization, μB/cell: 0.00

***

[3]
Compound: AlIn2Rh
Source: the Alexandria database
Functional: PBE
Structure: optimized geometry Values from VASP.

Structure (Quantum ESPRESSO input):
```
&SYSTEM
  ibrav = 0, nat = 4, ntyp = 3
/
ATOMIC_SPECIES
Rh 102.91 Rh.upf
Al 26.98 Al.upf
In 114.82 In.upf
CELL_PARAMETERS angstrom
4.7394 0.0000 0.0000
0.0000 4.7394 0.0000
0.0000 0.0000 3.3393
ATOMIC_POSITIONS angstrom
Rh 2.3697 0.0000 1.6697
Al 0.0000 2.3697 1.6697
In 0.0000 0.0000 0.0000
In 2.3697 2.3697 0.0000
```

E_tot, eV per atom: -4.125
Energy of formation, eV/atom: 0.02
SG: P4/mmm (123)
Total magnetization, μB/cell: 0.00

***

[4]
Compound: AlIn2Rh
Source: the Alexandria database
Functional: PBE
Structure: optimized geometry Values from VASP.

Structure (Quantum ESPRESSO input):
```
&SYSTEM
  ibrav = 0, nat = 4, ntyp = 3
/
ATOMIC_SPECIES
Rh 102.91 Rh.upf
Al 26.98 Al.upf
In 114.82 In.upf
CELL_PARAMETERS angstrom
3.6391 0.0000 0.0000
0.0000 3.6391 0.0000
0.0000 0.0000 5.6254
ATOMIC_POSITIONS angstrom
Rh 1.8195 1.8195 1.4064
Al 1.8195 1.8195 4.2191
In 0.0000 0.0000 0.0378
In 0.0000 0.0000 2.7749
```

E_tot, eV per atom: -4.250
Energy of formation, eV/atom: -0.11
SG: P4/mmm (123)
Total magnetization, μB/cell: 0.00